(1)
# K2RbCaTl PBE optimized geometry
# Uncorrected energy, eV per atom: -1.46
# Calculated density, g/cm³: 2.226
data_K2RbCaTl
_space_group_name_H-M_alt 'P 4/m m m'
_space_group_IT_number 123
_space_group_name_Hall '-P 4 2'
_cell_length_a 7.001
_cell_length_b 7.001
_cell_length_c 6.211
_cell_angle_alpha 90.00
_cell_angle_beta 90.00
_cell_angle_gamma 90.00
loop_
_atom_site_label
_atom_site_fract_x
_atom_site_fract_y
_atom_site_fract_z
K1 0.000 0.500 0.000
Rb1 0.000 0.000 0.500
Ca1 0.500 0.500 0.500
Tl1 0.500 0.500 0.000

(2)
# K2RbSrAu PBE optimized geometry
# Uncorrected energy, eV per atom: -1.77
# Calculated density, g/cm³: 2.654
data_K2RbSrAu
_space_group_name_H-M_alt 'P 4/m m m'
_space_group_IT_number 123
_space_group_name_Hall '-P 4 2'
_cell_length_a 6.714
_cell_length_b 6.714
_cell_length_c 6.220
_cell_angle_alpha 90.00
_cell_angle_beta 90.00
_cell_angle_gamma 90.00
loop_
_atom_site_label
_atom_site_fract_x
_atom_site_fract_y
_atom_site_fract_z
K1 0.000 0.500 0.000
Rb1 0.000 0.000 0.500
Sr1 0.500 0.500 0.500
Au1 0.500 0.500 0.000

(3)
# Cr2Ir9Ru PBE optimized geometry
# Uncorrected energy, eV per atom: -9.17
# Calculated density, g/cm³: 18.936
data_Cr2Ir9Ru
_space_group_name_H-M_alt 'P 4/m m m'
_space_group_IT_number 123
_space_group_name_Hall '-P 4 2'
_cell_length_a 3.838
_cell_length_b 3.838
_cell_length_c 11.520
_cell_angle_alpha 90.00
_cell_angle_beta 90.00
_cell_angle_gamma 90.00
loop_
_atom_site_label
_atom_site_fract_x
_atom_site_fract_y
_atom_site_fract_z
Cr1 0.000 0.000 0.164
Ir1 0.000 0.500 0.000
Ir2 0.000 0.500 0.332
Ir3 0.500 0.500 0.166
Ir4 0.500 0.500 0.500
Ru1 0.000 0.000 0.500

(4)
# KTe2ClF PBE optimized geometry
# Uncorrected energy, eV per atom: -1.98
# Calculated density, g/cm³: 2.129
# ΔE_f (raw), meV/atom: 236
data_KTe2ClF
_space_group_name_H-M_alt 'P 4/m m m'
_space_group_IT_number 123
_space_group_name_Hall '-P 4 2'
_cell_length_a 6.960
_cell_length_b 6.960
_cell_length_c 5.614
_cell_angle_alpha 90.00
_cell_angle_beta 90.00
_cell_angle_gamma 90.00
loop_
_atom_site_label
_atom_site_fract_x
_atom_site_fract_y
_atom_site_fract_z
K1 0.000 0.000 0.000
Te1 0.000 0.500 0.000
Cl1 0.000 0.000 0.500
F1 0.500 0.500 0.500

(5)
# Ca2RhBr PBE optimized geometry
# E above lowest polymorph, eV/f.u.: 0.66
# Uncorrected energy, eV per atom: -4.02
# Calculated density, g/cm³: 4.239
# ΔE_f (raw), meV/atom: -761
data_Ca2RhBr
_space_group_name_H-M_alt 'P 1 2/m 1'
_space_group_IT_number 10
_cell_length_a 4.225
_cell_length_b 4.203
_cell_length_c 5.801
_cell_angle_alpha 90.00
_cell_angle_beta 90.07
_cell_angle_gamma 90.00
loop_
_space_group_symop_operation_xyz
'x,y,z'
'-x,-y,-z'
'-x,y,-z'
'x,-y,z'
loop_
_atom_site_label
_atom_site_fract_x
_atom_site_fract_y
_atom_site_fract_z
Ca1 0.000 0.000 0.000
Ca2 0.500 0.500 0.500
Rh1 0.000 0.000 0.500
Br1 0.500 0.500 0.000

(6)
# CaCuSe2 PBE optimized geometry
# Uncorrected energy, eV per atom: -3.89
# Calculated density, g/cm³: 4.935
# ΔE_f (raw), meV/atom: -621
data_CaCuSe2
_space_group_name_H-M_alt 'I -4 m 2'
_space_group_IT_number 119
_space_group_name_Hall 'I -4 -2'
_cell_length_a 3.897
_cell_length_b 3.897
_cell_length_c 11.591
_cell_angle_alpha 90.00
_cell_angle_beta 90.00
_cell_angle_gamma 90.00
loop_
_atom_site_label
_atom_site_fract_x
_atom_site_fract_y
_atom_site_fract_z
Ca1 0.000 0.000 0.000
Cu1 0.000 0.500 0.750
Se1 0.000 0.000 0.500
Se2 0.000 0.500 0.250

(7)
# TlBP2 PBE optimized geometry
# E above lowest polymorph, eV/f.u.: 5.41
# Uncorrected energy, eV per atom: -3.49
# Calculated density, g/cm³: 6.648
data_TlBP2
_space_group_name_H-M_alt 'F m -3 m'
_space_group_IT_number 225
_space_group_name_Hall '-F 4 2 3'
_cell_length_a 6.518
_cell_length_b 6.518
_cell_length_c 6.518
_cell_angle_alpha 90.00
_cell_angle_beta 90.00
_cell_angle_gamma 90.00
loop_
_atom_site_label
_atom_site_fract_x
_atom_site_fract_y
_atom_site_fract_z
Tl1 0.000 0.000 0.000
B1 0.000 0.000 0.500
P1 0.250 0.250 0.250

(8)
# MnNbFeGe PBE optimized geometry
# Uncorrected energy, eV per atom: -8.29
# Calculated density, g/cm³: 8.786
data_MnNbFeGe
_space_group_name_H-M_alt 'F -4 3 m'
_space_group_IT_number 216
_space_group_name_Hall 'F -4 2 3'
_cell_length_a 5.934
_cell_length_b 5.934
_cell_length_c 5.934
_cell_angle_alpha 90.00
_cell_angle_beta 90.00
_cell_angle_gamma 90.00
loop_
_atom_site_label
_atom_site_fract_x
_atom_site_fract_y
_atom_site_fract_z
Mn1 0.000 0.000 0.000
Nb1 0.250 0.250 0.250
Fe1 0.000 0.000 0.500
Ge1 0.250 0.250 0.750

(9)
# Pm3ErGa4 PBE optimized geometry
# Uncorrected energy, eV per atom: -4.44
# Calculated density, g/cm³: 7.608
data_Pm3ErGa4
_space_group_name_H-M_alt 'P 4/m m m'
_space_group_IT_number 123
_space_group_name_Hall '-P 4 2'
_cell_length_a 3.632
_cell_length_b 3.632
_cell_length_c 14.579
_cell_angle_alpha 90.00
_cell_angle_beta 90.00
_cell_angle_gamma 90.00
loop_
_atom_site_label
_atom_site_fract_x
_atom_site_fract_y
_atom_site_fract_z
Pm1 0.000 0.000 0.000
Pm2 0.000 0.000 0.255
Er1 0.000 0.000 0.500
Ga1 0.500 0.500 0.128
Ga2 0.500 0.500 0.386

(10)
# Y8Er2Sc PBE optimized geometry
# E above lowest polymorph, eV/f.u.: 0.03
# Uncorrected energy, eV per atom: -5.92
# Calculated density, g/cm³: 5.152
data_Y8Er2Sc
_space_group_name_H-M_alt 'C 1 2/m 1'
_space_group_IT_number 12
_cell_length_a 16.481
_cell_length_b 6.581
_cell_length_c 6.635
_cell_angle_alpha 90.00
_cell_angle_beta 102.32
_cell_angle_gamma 90.00
loop_
_space_group_symop_operation_xyz
'x,y,z'
'-x,-y,-z'
'-x,y,-z'
'x,-y,z'
'x+1/2,y+1/2,z'
'-x+1/2,-y+1/2,-z'
'-x+1/2,y+1/2,-z'
'x+1/2,-y+1/2,z'
loop_
_atom_site_label
_atom_site_fract_x
_atom_site_fract_y
_atom_site_fract_z
Y1 0.081 0.241 0.391
Y2 0.095 0.000 0.915
Y3 0.243 0.500 0.322
Er1 0.188 0.500 0.805
Sc1 0.000 0.500 0.000

(11)
# YInS2N PBE optimized geometry
# E above lowest polymorph, eV/f.u.: 0.11
# Uncorrected energy, eV per atom: -5.23
# Calculated density, g/cm³: 3.605
# ΔE_f (raw), meV/atom: -72
data_YInS2N
_space_group_name_H-M_alt 'P 4/m m m'
_space_group_IT_number 123
_space_group_name_Hall '-P 4 2'
_cell_length_a 5.343
_cell_length_b 5.343
_cell_length_c 4.548
_cell_angle_alpha 90.00
_cell_angle_beta 90.00
_cell_angle_gamma 90.00
loop_
_atom_site_label
_atom_site_fract_x
_atom_site_fract_y
_atom_site_fract_z
Y1 0.000 0.000 0.000
In1 0.500 0.500 0.500
S1 0.000 0.500 0.000
N1 0.000 0.000 0.500

(12)
# Tl3Ga2I8 PBE optimized geometry
# Uncorrected energy, eV per atom: -2.47
# Calculated density, g/cm³: 4.774
# ΔE_f (raw), meV/atom: -508
data_Tl3Ga2I8
_space_group_name_H-M_alt 'C 1 2/m 1'
_space_group_IT_number 12
_cell_length_a 16.251
_cell_length_b 9.610
_cell_length_c 8.376
_cell_angle_alpha 90.00
_cell_angle_beta 109.92
_cell_angle_gamma 90.00
loop_
_space_group_symop_operation_xyz
'x,y,z'
'-x,-y,-z'
'-x,y,-z'
'x,-y,z'
'x+1/2,y+1/2,z'
'-x+1/2,-y+1/2,-z'
'-x+1/2,y+1/2,-z'
'x+1/2,-y+1/2,z'
loop_
_atom_site_label
_atom_site_fract_x
_atom_site_fract_y
_atom_site_fract_z
Tl1 0.000 0.000 0.000
Tl2 0.000 0.276 0.500
Ga1 0.188 0.500 0.135
I1 0.132 0.270 0.243
I2 0.133 0.000 0.739
I3 0.141 0.500 0.798